SiTcAu2 | GGA-PBE | optimized geometry

Output
**Magnetization**: 0.0 μB per cell
**Space-group type**: F-43m (216)
**Raw formation energy**: 0.302 eV/atom

The structure in POSCAR format:
```
SiTcAu2
1.0
0.0000 3.1734 3.1734
3.1734 0.0000 3.1734
3.1734 3.1734 0.0000
Si Tc Au
1 1 2
Cartesian
0.0000 0.0000 0.0000
1.5867 1.5867 1.5867
3.1734 3.1734 3.1734
4.7600 4.7600 4.7600
```

=====

Si2Tc2Au | GGA-PBE | optimized geometry

Output
**Magnetization**: 0.0 μB per cell
**Space-group type**: P4/mbm (127)
**Raw formation energy**: -0.122 eV/atom
**Polymorph energy (0 for the lowest one)**: 60 meV/atom

The structure in POSCAR format:
```
Si2Tc2Au
1.0
7.0609 0.0000 0.0000
0.0000 7.0609 0.0000
0.0000 0.0000 3.0007
Si Tc Au
4 4 2
Cartesian
1.0595 2.4709 0.0000
2.4709 6.0014 0.0000
4.5899 1.0595 0.0000
6.0014 4.5899 0.0000
1.0004 4.5308 1.5004
2.5301 1.0004 1.5004
4.5308 6.0605 1.5004
6.0605 2.5301 1.5004
0.0000 0.0000 1.5004
3.5304 3.5304 1.5004
```

=====

SiTc2Au | GGA-PBE | optimized geometry

Output
**Magnetization**: 0.0 μB per cell
**Space-group type**: Imm2 (44)
**Raw formation energy**: 0.057 eV/atom

The structure in POSCAR format:
```
SiTc2Au
1.0
-1.5307 2.1999 4.3587
1.5307 -2.1999 4.3587
1.5307 2.1999 -4.3587
Si Tc Au
1 2 1
Cartesian
0.0000 0.0000 0.0000
1.5307 0.0000 1.9262
0.0000 0.0000 4.2678
0.0000 2.1999 2.3430
```

=====

SiTc2Au | GGA-PBE | optimized geometry

Output
**Magnetization**: 0.0 μB per cell
**Space-group type**: P4mm (99)
**Raw formation energy**: 0.016 eV/atom

The structure in POSCAR format:
```
SiTc2Au
1.0
2.9386 0.0000 0.0000
0.0000 2.9386 0.0000
0.0000 0.0000 6.9224
Si Tc Au
1 2 1
Cartesian
0.0000 0.0000 0.0000
0.0000 0.0000 3.0776
1.4693 1.4693 1.4020
1.4693 1.4693 5.1693
```

=====

SiTc2Au | GGA-PBE | optimized geometry

Output
**Magnetization**: 0.0 μB per cell
**Space-group type**: P2/m (10)
**Raw formation energy**: 0.073 eV/atom

The structure in POSCAR format:
```
SiTc2Au
1.0
2.9002 0.0000 0.0000
0.0000 3.9152 0.0000
-1.2086 0.0000 5.3185
Si Tc Au
1 2 1
Cartesian
0.0000 0.0000 0.0000
0.8485 1.9576 1.1557
0.8432 1.9576 4.1628
-0.6043 0.0000 2.6592
```

=====

SiTeAu3 | GGA-PBE | optimized geometry

Output
**Magnetization**: 0.0 μB per cell
**Space-group type**: Pm-3m (221)
**Raw formation energy**: 0.964 eV/atom
**Polymorph energy (0 for the lowest one)**: 856 meV/atom

The structure in POSCAR format:
```
SiTeAu3
1.0
5.2484 0.0000 0.0000
0.0000 5.2484 0.0000
0.0000 0.0000 5.2484
Si Te Au
1 1 3
Cartesian
0.0000 0.0000 0.0000
2.6242 2.6242 2.6242
0.0000 2.6242 2.6242
2.6242 0.0000 2.6242
2.6242 2.6242 0.0000
```

=====

Si4TeAu | GGA-PBE | optimized geometry

Output
**Magnetization**: 0.0 μB per cell
**Space-group type**: F-43m (216)
**Raw formation energy**: 0.638 eV/atom

The structure in POSCAR format:
```
Si4TeAu
1.0
0.0000 3.7918 3.7918
3.7918 0.0000 3.7918
3.7918 3.7918 0.0000
Si Te Au
4 1 1
Cartesian
2.8577 2.8577 2.8577
4.7260 4.7260 2.8577
4.7260 2.8577 4.7260
2.8577 4.7260 4.7260
0.0000 0.0000 0.0000
5.6878 5.6878 5.6878
```

=====

Si2TeAu2 | GGA-PBE | optimized geometry

Output
**Magnetization**: 0.0 μB per cell
**Space-group type**: P4/mbm (127)
**Raw formation energy**: 0.297 eV/atom
**Polymorph energy (0 for the lowest one)**: 76 meV/atom

The structure in POSCAR format:
```
Si2TeAu2
1.0
8.0656 0.0000 0.0000
0.0000 8.0656 0.0000
0.0000 0.0000 3.0407
Si Te Au
4 2 4
Cartesian
0.9894 3.0434 0.0000
3.0434 7.0763 0.0000
5.0222 0.9894 0.0000
7.0763 5.0222 0.0000
0.0000 0.0000 1.5204
4.0328 4.0328 1.5204
1.3121 5.3449 1.5204
2.7208 1.3121 1.5204
5.3449 6.7536 1.5204
6.7536 2.7208 1.5204
```